1.
{"formula": "PaGeAs", "functional": "PBE", "state": "relaxed", "lattice": [[-1.0259, -0.6764, -3.5059], [-0.7863, -4.2421, 1.0485], [-3.2392, 3.0145, 0.3662]], "species": ["Pa", "Ge", "As"], "fractional_positions": [[0.0001, 0.0000, 0.0000], [0.4997, 0.6667, 0.3333], [0.5002, 0.3333, 0.6667]], "ef_ev_per_atom": -0.3835, "n_ef_per_ev_atom": 0.9929}

2.
{"formula": "CaHfTc2Te", "functional": "PBE", "state": "relaxed", "lattice": [[-0.6568, -0.5946, -4.5462], [3.1143, -4.3165, 0.1146], [-3.6987, -2.6452, 0.8803]], "species": ["Te", "Tc", "Tc", "Ca", "Hf"], "fractional_positions": [[0.5000, 0.5000, 0.5000], [0.0000, 0.0000, 0.5000], [0.5000, 0.0000, 0.0000], [0.0000, 0.0000, 0.0000], [0.0000, 0.5000, 0.0000]], "total_energy_ev_per_atom": -5.17, "n_ef_per_ev_atom": 0.8961}

3.
{"formula": "AlRe2Tc", "functional": "PBE", "state": "relaxed", "lattice": [[-2.1944, 1.7159, -0.7114], [-1.4088, -2.2550, -1.0935], [-2.9587, -1.1878, 6.2614]], "species": ["Re", "Re", "Al", "Tc"], "fractional_positions": [[0.0000, 0.0000, 0.9958], [0.0000, 0.0000, 0.5042], [0.5000, 0.5000, 0.7500], [0.5000, 0.5000, 0.2500]], "ef_ev_per_atom": -0.0694, "n_ef_per_ev_atom": 0.8643}